The following is a DFT calculation (PBE-GGA) of a geometry-optimized RbNpUS6 structure.

Summary:
- Space-group type: Imma (74)
- Raw formation energy: -1.04 eV per atom

Cell lengths 9.4652, 9.4652, 9.4652 Å; angles 120.95, 119.32, 89.77 degrees
Fractional positions:
Rb 0.3432 0.0932 0.2500
Rb 0.6568 0.9068 0.7500
Np 0.0000 0.0000 0.5000
Np 0.0000 0.5000 0.0000
U 0.0000 0.5000 0.5000
U 0.5000 0.5000 0.0000
S 0.0777 0.4259 0.2537
S 0.0777 0.8240 0.6517
S 0.0807 0.8307 0.2500
S 0.3193 0.5693 0.7500
S 0.3277 0.1760 0.7537
S 0.3277 0.5741 0.1517
S 0.6723 0.4259 0.8483
S 0.6723 0.8240 0.2463
S 0.6807 0.4307 0.2500
S 0.9193 0.1693 0.7500
S 0.9223 0.1760 0.3483
S 0.9223 0.5741 0.7463



The following is a DFT calculation (PBE-GGA) of a geometry-optimized RbNpU2S8 structure.

Summary:
- Space-group type: P2/m (10)
- Raw formation energy: -1.08 eV per atom

Cell lengths 6.2389, 8.3003, 6.4572 Å; angles 90.00, 91.72, 90.00 degrees
Fractional positions:
Rb 0.0000 0.0000 0.0000
Np 0.0000 0.5000 0.0000
U 0.5000 0.2531 0.5000
U 0.5000 0.7469 0.5000
S 0.2675 0.2903 0.1743
S 0.2675 0.7097 0.1743
S 0.2785 0.5000 0.6617
S 0.2801 0.0000 0.6015
S 0.7199 0.0000 0.3985
S 0.7215 0.5000 0.3383
S 0.7325 0.2903 0.8257
S 0.7325 0.7097 0.8257



The following is a DFT calculation (PBE-GGA) of a geometry-optimized Rb4Np3VS8 structure.

Summary:
- Space-group type: R-3m (166)
- Raw formation energy: -1.26 eV per atom

Cell lengths 8.9666, 8.9666, 8.9666 Å; angles 53.04, 53.04, 53.04 degrees
Fractional positions:
Rb 0.0000 0.0000 0.0000
Rb 0.0000 0.5000 0.5000
Rb 0.5000 0.0000 0.5000
Rb 0.5000 0.5000 0.0000
Np 0.0000 0.0000 0.5000
Np 0.0000 0.5000 0.0000
Np 0.5000 0.0000 0.0000
V 0.5000 0.5000 0.5000
S 0.2315 0.2315 0.2315
S 0.2428 0.7216 0.7216
S 0.2784 0.2784 0.7572
S 0.2784 0.7572 0.2784
S 0.7216 0.2428 0.7216
S 0.7216 0.7216 0.2428
S 0.7572 0.2784 0.2784
S 0.7685 0.7685 0.7685



The following is a DFT calculation (PBE-GGA) of a geometry-optimized Rb2Np2VS6 structure.

Summary:
- Space-group type: C2/m (12)
- Raw formation energy: -1.26 eV per atom

Cell lengths 6.6610, 6.6610, 8.1914 Å; angles 98.00, 98.00, 119.46 degrees
Fractional positions:
Rb 0.1693 0.8307 0.0000
Rb 0.8307 0.1693 0.0000
Np 0.3335 0.6665 0.5000
Np 0.6665 0.3335 0.5000
V 0.0000 0.0000 0.5000
S 0.0623 0.3758 0.6817
S 0.2492 0.2492 0.3193
S 0.3758 0.0623 0.6817
S 0.6242 0.9377 0.3183
S 0.7508 0.7508 0.6807
S 0.9377 0.6242 0.3183



The following is a DFT calculation (PBE-GGA) of a geometry-optimized Rb2NpVS4 structure.

Summary:
- Space-group type: I-4 (82)
- Raw formation energy: -1.01 eV per atom

Cell lengths 7.1153, 7.1153, 7.1153 Å; angles 118.14, 118.14, 93.25 degrees
Fractional positions:
Rb 0.0000 0.0000 0.0000
Rb 0.7500 0.2500 0.5000
Np 0.5000 0.5000 0.0000
V 0.2500 0.7500 0.5000
S 0.2155 0.0943 0.5762
S 0.3608 0.7845 0.8789
S 0.5181 0.6392 0.4238
S 0.9057 0.4819 0.1211



The following is a DFT calculation (PBE-GGA) of a geometry-optimized RbNpW2S8 structure.

Summary:
- Space-group type: R-3 (148)
- Raw formation energy: -0.72 eV per atom

Cell lengths 10.2997, 10.2997, 10.2997 Å; angles 36.77, 36.77, 36.77 degrees
Fractional positions:
Rb 0.0000 0.0000 0.0000
Np 0.5000 0.5000 0.5000
W 0.2479 0.2479 0.2479
W 0.7521 0.7521 0.7521
S 0.1005 0.4459 0.7794
S 0.2206 0.8995 0.5541
S 0.3232 0.3232 0.3232
S 0.4459 0.7794 0.1005
S 0.5541 0.2206 0.8995
S 0.6768 0.6768 0.6768
S 0.7794 0.1005 0.4459
S 0.8995 0.5541 0.2206



The following is a DFT calculation (PBE-GGA) of a geometry-optimized Rb3YNp3S8 structure.

Summary:
- Space-group type: R-3m (166)
- Raw formation energy: -1.51 eV per atom

Cell lengths 9.0828, 9.0828, 9.0828 Å; angles 53.18, 53.18, 53.18 degrees
Fractional positions:
Rb 0.0000 0.5000 0.5000
Rb 0.5000 0.0000 0.5000
Rb 0.5000 0.5000 0.0000
Y 0.5000 0.5000 0.5000
Np 0.0000 0.0000 0.5000
Np 0.0000 0.5000 0.0000
Np 0.5000 0.0000 0.0000
S 0.2272 0.7295 0.7295
S 0.2291 0.2291 0.2291
S 0.2705 0.2705 0.7728
S 0.2705 0.7728 0.2705
S 0.7295 0.2272 0.7295
S 0.7295 0.7295 0.2272
S 0.7709 0.7709 0.7709
S 0.7728 0.2705 0.2705



The following is a DFT calculation (PBE-GGA) of a geometry-optimized Rb3YNp2S6 structure.

Summary:
- Space-group type: C2/m (12)
- Raw formation energy: -1.52 eV per atom

Cell lengths 7.1226, 7.1226, 8.0436 Å; angles 98.49, 98.49, 120.00 degrees
Fractional positions:
Rb 0.0000 0.0000 0.0000
Rb 0.3340 0.6660 0.0000
Rb 0.6660 0.3340 0.0000
Y 0.5000 0.5000 0.5000
Np 0.1667 0.8333 0.5000
Np 0.8333 0.1667 0.5000
S 0.1029 0.4361 0.3082
S 0.2307 0.2307 0.6916
S 0.4361 0.1029 0.3082
S 0.5639 0.8971 0.6918
S 0.7693 0.7693 0.3084
S 0.8971 0.5639 0.6918



The following is a DFT calculation (PBE-GGA) of a geometry-optimized Rb4YNp3S8 structure.

Summary:
- Space-group type: R-3m (166)
- Raw formation energy: -1.48 eV per atom

Cell lengths 9.0277, 9.0277, 9.0277 Å; angles 54.29, 54.29, 54.29 degrees
Fractional positions:
Rb 0.0000 0.0000 0.0000
Rb 0.0000 0.5000 0.5000
Rb 0.5000 0.0000 0.5000
Rb 0.5000 0.5000 0.0000
Y 0.5000 0.5000 0.5000
Np 0.0000 0.0000 0.5000
Np 0.0000 0.5000 0.0000
Np 0.5000 0.0000 0.0000
S 0.2294 0.2294 0.2294
S 0.2320 0.7300 0.7300
S 0.2700 0.2700 0.7680
S 0.2700 0.7680 0.2700
S 0.7300 0.2320 0.7300
S 0.7300 0.7300 0.2320
S 0.7680 0.2700 0.2700
S 0.7706 0.7706 0.7706



The following is a DFT calculation (PBE-GGA) of a geometry-optimized Rb2YNp2S6 structure.

Summary:
- Space-group type: C2/m (12)
- Raw formation energy: -1.56 eV per atom

Cell lengths 6.9994, 6.9994, 8.1735 Å; angles 98.06, 98.06, 120.09 degrees
Fractional positions:
Rb 0.1655 0.8345 0.0000
Rb 0.8345 0.1655 0.0000
Y 0.0000 0.0000 0.5000
Np 0.3341 0.6659 0.5000
Np 0.6659 0.3341 0.5000
S 0.0587 0.3979 0.6845
S 0.2745 0.2745 0.3148
S 0.3979 0.0587 0.6845
S 0.6021 0.9413 0.3155
S 0.7255 0.7255 0.6852
S 0.9413 0.6021 0.3155



The following is a DFT calculation (PBE-GGA) of a geometry-optimized Rb3Y2NpS6 structure.

Summary:
- Space-group type: C2/m (12)
- Raw formation energy: -1.68 eV per atom

Cell lengths 7.1178, 7.1178, 8.0419 Å; angles 98.47, 98.47, 119.95 degrees
Fractional positions:
Rb 0.0000 0.0000 0.0000
Rb 0.3327 0.6673 0.0000
Rb 0.6673 0.3327 0.0000
Y 0.1660 0.8340 0.5000
Y 0.8340 0.1660 0.5000
Np 0.5000 0.5000 0.5000
S 0.0999 0.4356 0.3077
S 0.2284 0.2284 0.6930
S 0.4356 0.0999 0.3077
S 0.5644 0.9001 0.6923
S 0.7716 0.7716 0.3070
S 0.9001 0.5644 0.6923



The following is a DFT calculation (PBE-GGA) of a geometry-optimized Rb3Y3NpS8 structure.

Summary:
- Space-group type: R-3m (166)
- Raw formation energy: -1.75 eV per atom

Cell lengths 9.1066, 9.1066, 9.1066 Å; angles 52.80, 52.80, 52.80 degrees
Fractional positions:
Rb 0.0000 0.5000 0.5000
Rb 0.5000 0.0000 0.5000
Rb 0.5000 0.5000 0.0000
Y 0.0000 0.0000 0.5000
Y 0.0000 0.5000 0.0000
Y 0.5000 0.0000 0.0000
Np 0.5000 0.5000 0.5000
S 0.2301 0.2301 0.2301
S 0.2348 0.7257 0.7257
S 0.2743 0.2743 0.7652
S 0.2743 0.7652 0.2743
S 0.7257 0.2348 0.7257
S 0.7257 0.7257 0.2348
S 0.7652 0.2743 0.2743
S 0.7699 0.7699 0.7699



The following is a DFT calculation (PBE-GGA) of a geometry-optimized Rb4Y3NpS8 structure.

Summary:
- Space-group type: R-3m (166)
- Raw formation energy: -1.72 eV per atom

Cell lengths 9.0258, 9.0258, 9.0258 Å; angles 54.10, 54.10, 54.10 degrees
Fractional positions:
Rb 0.0000 0.0000 0.0000
Rb 0.0000 0.5000 0.5000
Rb 0.5000 0.0000 0.5000
Rb 0.5000 0.5000 0.0000
Y 0.0000 0.0000 0.5000
Y 0.0000 0.5000 0.0000
Y 0.5000 0.0000 0.0000
Np 0.5000 0.5000 0.5000
S 0.2281 0.7320 0.7320
S 0.2308 0.2308 0.2308
S 0.2680 0.2680 0.7719
S 0.2680 0.7719 0.2680
S 0.7320 0.2281 0.7320
S 0.7320 0.7320 0.2281
S 0.7692 0.7692 0.7692
S 0.7719 0.2680 0.2680



The following is a DFT calculation (PBE-GGA) of a geometry-optimized Rb2NpZnS5 structure.

Summary:
- Space-group type: Cmc2_1 (36)
- Raw formation energy: -0.99 eV per atom

Cell lengths 9.9183, 9.9183, 14.0266 Å; angles 90.00, 90.00, 156.79 degrees
Fractional positions:
Rb 0.1131 0.8869 0.5000
Rb 0.1254 0.8746 0.1345
Rb 0.8746 0.1254 0.6345
Rb 0.8869 0.1131 0.0000
Np 0.2048 0.7952 0.8367
Np 0.7952 0.2048 0.3367
Zn 0.4271 0.5729 0.2513
Zn 0.5729 0.4271 0.7513
S 0.0727 0.9273 0.8492
S 0.2911 0.7089 0.4566
S 0.3032 0.6968 0.2124
S 0.3289 0.6711 0.8219
S 0.4911 0.5089 0.1198
S 0.5089 0.4911 0.6198
S 0.6711 0.3289 0.3219
S 0.6968 0.3032 0.7124
S 0.7089 0.2911 0.9566
S 0.9273 0.0727 0.3492



The following is a DFT calculation (PBE-GGA) of a geometry-optimized Rb2NpZnS4 structure.

Summary:
- Space-group type: C2/c (15)
- Raw formation energy: -1.02 eV per atom

Cell lengths 8.3490, 8.3490, 8.3024 Å; angles 114.09, 114.09, 95.17 degrees
Fractional positions:
Rb 0.0000 0.0000 0.0000
Rb 0.0000 0.0000 0.5000
Rb 0.0000 0.5000 0.0000
Rb 0.5000 0.0000 0.5000
Np 0.5000 0.5000 0.0000
Np 0.5000 0.5000 0.5000
Zn 0.0000 0.5000 0.5000
Zn 0.5000 0.0000 0.0000
S 0.2161 0.6677 0.4853
S 0.3077 0.3123 0.5887
S 0.3123 0.3077 0.0887
S 0.3323 0.7839 0.0147
S 0.6677 0.2161 0.9853
S 0.6877 0.6923 0.9113
S 0.6923 0.6877 0.4113
S 0.7839 0.3323 0.5147



The following is a DFT calculation (PBE-GGA) of a geometry-optimized Rb3Np2ZnS6 structure.

Summary:
- Space-group type: C2/m (12)
- Raw formation energy: -1.16 eV per atom

Cell lengths 6.9843, 6.9843, 7.9867 Å; angles 98.35, 98.35, 120.01 degrees
Fractional positions:
Rb 0.0000 0.0000 0.0000
Rb 0.3352 0.6648 0.0000
Rb 0.6648 0.3352 0.0000
Np 0.1668 0.8332 0.5000
Np 0.8332 0.1668 0.5000
Zn 0.5000 0.5000 0.5000
S 0.1090 0.4377 0.3128
S 0.2339 0.2339 0.6863
S 0.4377 0.1090 0.3128
S 0.5623 0.8910 0.6872
S 0.7661 0.7661 0.3137
S 0.8910 0.5623 0.6872



The following is a DFT calculation (PBE-GGA) of a geometry-optimized Rb3Np3ZnS8 structure.

Summary:
- Space-group type: C2/m (12)
- Raw formation energy: -1.19 eV per atom

Cell lengths 7.9743, 7.9743, 8.9263 Å; angles 115.13, 115.13, 61.96 degrees
Fractional positions:
Rb 0.0000 0.0000 0.0000
Rb 0.0000 0.5000 0.0000
Rb 0.5000 0.0000 0.0000
Np 0.0000 0.5000 0.5000
Np 0.5000 0.0000 0.5000
Np 0.5000 0.5000 0.5000
Zn 0.0000 0.0000 0.5000
S 0.2023 0.2023 0.6651
S 0.2411 0.7119 0.6914
S 0.2678 0.2678 0.3080
S 0.2881 0.7589 0.3086
S 0.7119 0.2411 0.6914
S 0.7322 0.7322 0.6920
S 0.7589 0.2881 0.3086
S 0.7977 0.7977 0.3349



The following is a DFT calculation (PBE-GGA) of a geometry-optimized RbNpZnS3 structure.

Summary:
- Space-group type: P2_1/m (11)
- Raw formation energy: -1.15 eV per atom

Cell lengths 9.0772, 4.0529, 9.6767 Å; angles 90.00, 108.48, 90.00 degrees
Fractional positions:
Rb 0.2066 0.2500 0.2331
Rb 0.7934 0.7500 0.7669
Np 0.3323 0.7500 0.8552
Np 0.6677 0.2500 0.1448
Zn 0.0858 0.2500 0.6092
Zn 0.9142 0.7500 0.3908
S 0.1208 0.2500 0.8561
S 0.1872 0.7500 0.5352
S 0.4658 0.7500 0.1497
S 0.5342 0.2500 0.8503
S 0.8128 0.2500 0.4648
S 0.8792 0.7500 0.1439



The following is a DFT calculation (PBE-GGA) of a geometry-optimized Rb4ZrNp3S8 structure.

Summary:
- Space-group type: R-3m (166)
- Raw formation energy: -1.38 eV per atom

Cell lengths 9.0020, 9.0020, 9.0020 Å; angles 53.23, 53.23, 53.23 degrees
Fractional positions:
Rb 0.0000 0.0000 0.0000
Rb 0.0000 0.5000 0.5000
Rb 0.5000 0.0000 0.5000
Rb 0.5000 0.5000 0.0000
Zr 0.5000 0.5000 0.5000
Np 0.0000 0.0000 0.5000
Np 0.0000 0.5000 0.0000
Np 0.5000 0.0000 0.0000
S 0.2312 0.2312 0.2312
S 0.2424 0.7240 0.7240
S 0.2760 0.2760 0.7576
S 0.2760 0.7576 0.2760
S 0.7240 0.2424 0.7240
S 0.7240 0.7240 0.2424
S 0.7576 0.2760 0.2760
S 0.7688 0.7688 0.7688



Number 1: size of the total moment 4.13 μB per cell, N(E_F) 17.36 states/eV per cell. Number 2: size of the total moment 4.01 μB per cell, N(E_F) 13.61 states/eV per cell. Number 3: size of the total moment 14.00 μB per cell, N(E_F) 30.96 states/eV per cell. Number 4: size of the total moment 9.00 μB per cell, N(E_F) 20.60 states/eV per cell. Number 5: size of the total moment 6.00 μB per cell, N(E_F) 11.45 states/eV per cell. Number 6: size of the total moment 4.00 μB per cell, N(E_F) 7.88 states/eV per cell. Number 7: size of the total moment 11.00 μB per cell, N(E_F) 27.61 states/eV per cell. Number 8: size of the total moment 8.00 μB per cell, N(E_F) 21.67 states/eV per cell. Number 9: size of the total moment 12.00 μB per cell, N(E_F) 25.83 states/eV per cell. Number 10: size of the total moment 7.00 μB per cell, N(E_F) 18.49 states/eV per cell. Number 11: size of the total moment 4.00 μB per cell, N(E_F) 7.98 states/eV per cell. Number 12: size of the total moment 3.00 μB per cell, N(E_F) 4.18 states/eV per cell. Number 13: size of the total moment 4.00 μB per cell, N(E_F) 6.09 states/eV per cell. Number 14: size of the total moment 3.47 μB per cell, N(E_F) 10.65 states/eV per cell. Number 15: size of the total moment 6.00 μB per cell, N(E_F) 14.46 states/eV per cell. Number 16: size of the total moment 7.00 μB per cell, N(E_F) 17.93 states/eV per cell. Number 17: size of the total moment 3.63 μB per cell, N(E_F) 19.35 states/eV per cell. Number 18: size of the total moment 8.00 μB per cell, N(E_F) 19.25 states/eV per cell. Number 19: size of the total moment 13.01 μB per cell, N(E_F) 31.56 states/eV per cell.